The following is a DFT calculation (PBE-GGA) of Ce3Zn8Pd after structural relaxation.

The structure in CIF format:
```
data_Ce3Zn8Pd
_symmetry_space_group_name_H-M 'P 1'
_symmetry_Int_Tables_number 1
_cell_length_a 5.3856
_cell_length_b 5.3856
_cell_length_c 9.3923
_cell_angle_alpha 73.34
_cell_angle_beta 73.34
_cell_angle_gamma 60.00
loop_
_symmetry_equiv_pos_as_xyz
'x,y,z'
loop_
_atom_site_label
_atom_site_type_symbol
_atom_site_fract_x
_atom_site_fract_y
_atom_site_fract_z
Ce1 Ce 0.3746 0.3746 0.8761
Ce2 Ce 0.9998 0.9998 0.0006
Ce3 Ce 0.5013 0.5013 0.4961
Zn1 Zn 0.9343 0.4362 0.1932
Zn2 Zn 0.4446 0.9379 0.6796
Zn3 Zn 0.4362 0.4362 0.1932
Zn4 Zn 0.9379 0.9379 0.6796
Zn5 Zn 0.1893 0.1893 0.4322
Zn6 Zn 0.6867 0.6867 0.9399
Zn7 Zn 0.4362 0.9343 0.1932
Zn8 Zn 0.9379 0.4446 0.6796
Pd1 Pd 0.8711 0.8711 0.3867
```

Output
- crystal system = trigonal
- energy of formation (kcal/mol of atoms) = -6.313
- calculated total energy (eV/atom) = -3.04